# Sn5Pd13Au14 (PBE, optimized geometry)
data_Sn5Pd13Au14
_chemical_formula_sum 'Sn5 Pd13 Au14'
_space_group_name_H-M_alt 'P 1'
_space_group_IT_number 1
_cell_length_a 4.072
_cell_length_b 4.072
_cell_length_c 33.317
_cell_angle_alpha 90.00
_cell_angle_beta 90.00
_cell_angle_gamma 90.00
loop_
_space_group_symop_operation_xyz
'x,y,z'
loop_
_atom_site_label
_atom_site_type_symbol
_atom_site_fract_x
_atom_site_fract_y
_atom_site_fract_z
Sn1 Sn 0.000 0.000 0.000
Sn2 Sn 0.000 0.000 0.120
Sn3 Sn 0.000 0.000 0.238
Sn4 Sn 0.000 0.000 0.762
Sn5 Sn 0.000 0.000 0.880
Pd1 Pd 0.000 0.500 0.060
Pd2 Pd 0.000 0.500 0.181
Pd3 Pd 0.000 0.500 0.819
Pd4 Pd 0.000 0.500 0.940
Pd5 Pd 0.500 0.000 0.060
Pd6 Pd 0.500 0.000 0.181
Pd7 Pd 0.500 0.000 0.819
Pd8 Pd 0.500 0.000 0.940
Pd9 Pd 0.500 0.500 0.000
Pd10 Pd 0.500 0.500 0.121
Pd11 Pd 0.500 0.500 0.242
Pd12 Pd 0.500 0.500 0.758
Pd13 Pd 0.500 0.500 0.879
Au1 Au 0.000 0.000 0.372
Au2 Au 0.000 0.000 0.500
Au3 Au 0.000 0.000 0.628
Au4 Au 0.000 0.500 0.306
Au5 Au 0.000 0.500 0.436
Au6 Au 0.000 0.500 0.564
Au7 Au 0.000 0.500 0.694
Au8 Au 0.500 0.000 0.306
Au9 Au 0.500 0.000 0.436
Au10 Au 0.500 0.000 0.564
Au11 Au 0.500 0.000 0.694
Au12 Au 0.500 0.500 0.370
Au13 Au 0.500 0.500 0.500
Au14 Au 0.500 0.500 0.630
# SG	P4/mmm (123)
# electronic total energy	-4.44	eV/atom


# SnPd2Au2 (PBE, optimized geometry)
data_SnPd2Au2
_chemical_formula_sum 'Sn2 Pd4 Au4'
_space_group_name_H-M_alt 'P 1'
_space_group_IT_number 1
_cell_length_a 7.321
_cell_length_b 7.321
_cell_length_c 3.507
_cell_angle_alpha 90.00
_cell_angle_beta 90.00
_cell_angle_gamma 90.00
loop_
_space_group_symop_operation_xyz
'x,y,z'
loop_
_atom_site_label
_atom_site_type_symbol
_atom_site_fract_x
_atom_site_fract_y
_atom_site_fract_z
Sn1 Sn 0.000 0.000 0.000
Sn2 Sn 0.500 0.500 0.000
Pd1 Pd 0.158 0.342 0.500
Pd2 Pd 0.342 0.842 0.500
Pd3 Pd 0.658 0.158 0.500
Pd4 Pd 0.842 0.658 0.500
Au1 Au 0.139 0.639 0.000
Au2 Au 0.361 0.139 0.000
Au3 Au 0.639 0.861 0.000
Au4 Au 0.861 0.361 0.000
# SG	P4/mbm (127)
# electronic total energy	-4.27	eV/atom


# SnPd3Au4 (PBE, optimized geometry)
data_SnPd3Au4
_chemical_formula_sum 'Sn4 Pd12 Au16'
_space_group_name_H-M_alt 'P 1'
_space_group_IT_number 1
_cell_length_a 5.772
_cell_length_b 5.772
_cell_length_c 19.169
_cell_angle_alpha 90.00
_cell_angle_beta 90.00
_cell_angle_gamma 120.00
loop_
_space_group_symop_operation_xyz
'x,y,z'
loop_
_atom_site_label
_atom_site_type_symbol
_atom_site_fract_x
_atom_site_fract_y
_atom_site_fract_z
Sn1 Sn 0.000 0.000 0.000
Sn2 Sn 0.000 0.000 0.352
Sn3 Sn 0.333 0.667 0.113
Sn4 Sn 0.667 0.333 0.240
Pd1 Pd 0.002 0.501 0.358
Pd2 Pd 0.168 0.336 0.236
Pd3 Pd 0.168 0.832 0.236
Pd4 Pd 0.335 0.168 0.118
Pd5 Pd 0.499 0.501 0.358
Pd6 Pd 0.499 0.998 0.358
Pd7 Pd 0.502 0.003 0.995
Pd8 Pd 0.502 0.498 0.995
Pd9 Pd 0.664 0.832 0.236
Pd10 Pd 0.832 0.168 0.118
Pd11 Pd 0.832 0.665 0.118
Pd12 Pd 0.997 0.498 0.995
Au1 Au 0.000 0.000 0.741
Au2 Au 0.001 0.500 0.740
Au3 Au 0.166 0.332 0.611
Au4 Au 0.166 0.834 0.611
Au5 Au 0.333 0.667 0.483
Au6 Au 0.333 0.667 0.871
Au7 Au 0.335 0.168 0.869
Au8 Au 0.336 0.168 0.483
Au9 Au 0.500 0.500 0.740
Au10 Au 0.500 0.999 0.740
Au11 Au 0.667 0.333 0.613
Au12 Au 0.668 0.834 0.611
Au13 Au 0.832 0.168 0.483
Au14 Au 0.832 0.168 0.869
Au15 Au 0.832 0.664 0.483
Au16 Au 0.832 0.665 0.869
# SG	P3m1 (156)
# electronic total energy	-4.31	eV/atom


# SnPdAu2 (PBE, optimized geometry)
data_SnPdAu2
_chemical_formula_sum 'Sn1 Pd1 Au2'
_space_group_name_H-M_alt 'P 1'
_space_group_IT_number 1
_cell_length_a 4.706
_cell_length_b 4.706
_cell_length_c 4.706
_cell_angle_alpha 60.00
_cell_angle_beta 60.00
_cell_angle_gamma 60.00
loop_
_space_group_symop_operation_xyz
'x,y,z'
loop_
_atom_site_label
_atom_site_type_symbol
_atom_site_fract_x
_atom_site_fract_y
_atom_site_fract_z
Sn1 Sn 0.000 0.000 0.000
Pd1 Pd 0.250 0.250 0.250
Au1 Au 0.500 0.500 0.500
Au2 Au 0.750 0.750 0.750
# SG	F-43m (216)
# electronic total energy	-4.12	eV/atom


# SnPd3Au4 (PBE, optimized geometry)
data_SnPd3Au4
_chemical_formula_sum 'Sn8 Pd24 Au32'
_space_group_name_H-M_alt 'P 1'
_space_group_IT_number 1
_cell_length_a 5.773
_cell_length_b 5.773
_cell_length_c 38.498
_cell_angle_alpha 90.00
_cell_angle_beta 90.00
_cell_angle_gamma 120.00
loop_
_space_group_symop_operation_xyz
'x,y,z'
loop_
_atom_site_label
_atom_site_type_symbol
_atom_site_fract_x
_atom_site_fract_y
_atom_site_fract_z
Sn1 Sn 0.000 0.000 0.000
Sn2 Sn 0.000 0.000 0.177
Sn3 Sn 0.000 0.000 0.358
Sn4 Sn 0.333 0.667 0.057
Sn5 Sn 0.333 0.667 0.238
Sn6 Sn 0.333 0.667 0.415
Sn7 Sn 0.667 0.333 0.119
Sn8 Sn 0.667 0.333 0.297
Pd1 Pd 0.001 0.500 0.178
Pd2 Pd 0.166 0.333 0.298
Pd3 Pd 0.166 0.834 0.298
Pd4 Pd 0.167 0.334 0.118
Pd5 Pd 0.167 0.833 0.118
Pd6 Pd 0.332 0.166 0.238
Pd7 Pd 0.334 0.167 0.418
Pd8 Pd 0.335 0.168 0.059
Pd9 Pd 0.500 0.500 0.178
Pd10 Pd 0.500 0.999 0.178
Pd11 Pd 0.501 0.003 0.357
Pd12 Pd 0.501 0.003 0.998
Pd13 Pd 0.501 0.499 0.357
Pd14 Pd 0.501 0.499 0.998
Pd15 Pd 0.666 0.833 0.118
Pd16 Pd 0.667 0.834 0.298
Pd17 Pd 0.832 0.168 0.059
Pd18 Pd 0.832 0.665 0.059
Pd19 Pd 0.833 0.167 0.418
Pd20 Pd 0.833 0.666 0.418
Pd21 Pd 0.834 0.166 0.238
Pd22 Pd 0.834 0.668 0.238
Pd23 Pd 0.997 0.499 0.357
Pd24 Pd 0.997 0.499 0.998
Au1 Au 0.000 0.000 0.545
Au2 Au 0.000 0.000 0.735
Au3 Au 0.000 0.000 0.927
Au4 Au 0.000 0.500 0.544
Au5 Au 0.001 0.500 0.735
Au6 Au 0.001 0.501 0.927
Au7 Au 0.166 0.331 0.480
Au8 Au 0.166 0.333 0.671
Au9 Au 0.166 0.333 0.862
Au10 Au 0.166 0.834 0.480
Au11 Au 0.166 0.834 0.671
Au12 Au 0.166 0.834 0.862
Au13 Au 0.333 0.667 0.608
Au14 Au 0.333 0.667 0.799
Au15 Au 0.334 0.167 0.608
Au16 Au 0.334 0.167 0.798
Au17 Au 0.499 0.501 0.927
Au18 Au 0.499 0.999 0.927
Au19 Au 0.500 0.000 0.544
Au20 Au 0.500 0.500 0.544
Au21 Au 0.500 0.500 0.735
Au22 Au 0.500 0.999 0.735
Au23 Au 0.667 0.333 0.480
Au24 Au 0.667 0.333 0.672
Au25 Au 0.667 0.333 0.863
Au26 Au 0.667 0.834 0.671
Au27 Au 0.667 0.834 0.862
Au28 Au 0.669 0.834 0.480
Au29 Au 0.833 0.167 0.608
Au30 Au 0.833 0.167 0.798
Au31 Au 0.833 0.666 0.608
Au32 Au 0.833 0.666 0.798
# SG	P3m1 (156)
# electronic total energy	-4.31	eV/atom


# Sr3Sn4Pd2Au2 (PBE, optimized geometry)
data_Sr3Sn4Pd2Au2
_chemical_formula_sum 'Sr3 Sn4 Pd2 Au2'
_space_group_name_H-M_alt 'P 1'
_space_group_IT_number 1
_cell_length_a 13.788
_cell_length_b 13.788
_cell_length_c 13.788
_cell_angle_alpha 160.65
_cell_angle_beta 160.04
_cell_angle_gamma 27.94
loop_
_space_group_symop_operation_xyz
'x,y,z'
loop_
_atom_site_label
_atom_site_type_symbol
_atom_site_fract_x
_atom_site_fract_y
_atom_site_fract_z
Sr1 Sr 0.000 0.000 0.000
Sr2 Sr 0.348 0.848 0.500
Sr3 Sr 0.652 0.152 0.500
Sn1 Sn 0.202 0.702 0.500
Sn2 Sn 0.447 0.447 0.000
Sn3 Sn 0.553 0.553 0.000
Sn4 Sn 0.798 0.298 0.500
Pd1 Pd 0.251 0.251 0.000
Pd2 Pd 0.749 0.749 0.000
Au1 Au 0.100 0.600 0.500
Au2 Au 0.900 0.400 0.500
# SG	Immm (71)
# electronic total energy	-4.15	eV/atom


# SrPdAu (PBE, optimized geometry)
data_SrPdAu
_chemical_formula_sum 'Sr1 Pd1 Au1'
_space_group_name_H-M_alt 'P 1'
_space_group_IT_number 1
_cell_length_a 4.803
_cell_length_b 4.803
_cell_length_c 4.803
_cell_angle_alpha 60.00
_cell_angle_beta 60.00
_cell_angle_gamma 60.00
loop_
_space_group_symop_operation_xyz
'x,y,z'
loop_
_atom_site_label
_atom_site_type_symbol
_atom_site_fract_x
_atom_site_fract_y
_atom_site_fract_z
Sr1 Sr 0.000 0.000 0.000
Pd1 Pd 0.750 0.750 0.750
Au1 Au 0.500 0.500 0.500
# energy relative to the lowest polymorph listed for this composition	0	meV/atom
# SG	F-43m (216)
# electronic total energy	-3.86	eV/atom


# SrPdAu (PBE, optimized geometry)
data_SrPdAu
_chemical_formula_sum 'Sr1 Pd1 Au1'
_space_group_name_H-M_alt 'P 1'
_space_group_IT_number 1
_cell_length_a 4.945
_cell_length_b 4.945
_cell_length_c 4.945
_cell_angle_alpha 60.00
_cell_angle_beta 60.00
_cell_angle_gamma 60.00
loop_
_space_group_symop_operation_xyz
'x,y,z'
loop_
_atom_site_label
_atom_site_type_symbol
_atom_site_fract_x
_atom_site_fract_y
_atom_site_fract_z
Sr1 Sr 0.000 0.000 0.000
Pd1 Pd 0.250 0.250 0.250
Au1 Au 0.750 0.750 0.750
# energy relative to the lowest polymorph listed for this composition	433	meV/atom
# SG	F-43m (216)
# electronic total energy	-3.43	eV/atom


# Sr2PdAu2 (PBE, optimized geometry)
data_Sr2PdAu2
_chemical_formula_sum 'Sr2 Pd1 Au2'
_space_group_name_H-M_alt 'P 1'
_space_group_IT_number 1
_cell_length_a 6.444
_cell_length_b 6.444
_cell_length_c 6.444
_cell_angle_alpha 131.37
_cell_angle_beta 131.37
_cell_angle_gamma 71.23
loop_
_space_group_symop_operation_xyz
'x,y,z'
loop_
_atom_site_label
_atom_site_type_symbol
_atom_site_fract_x
_atom_site_fract_y
_atom_site_fract_z
Sr1 Sr 0.250 0.750 0.500
Sr2 Sr 0.750 0.250 0.500
Pd1 Pd 0.000 0.000 0.000
Au1 Au 0.376 0.376 0.000
Au2 Au 0.624 0.624 0.000
# SG	I4/mmm (139)
# electronic total energy	-3.23	eV/atom


# Sr2Pd2Au (PBE, optimized geometry)
data_Sr2Pd2Au
_chemical_formula_sum 'Sr2 Pd2 Au1'
_space_group_name_H-M_alt 'P 1'
_space_group_IT_number 1
_cell_length_a 8.547
_cell_length_b 8.547
_cell_length_c 8.547
_cell_angle_alpha 153.35
_cell_angle_beta 153.35
_cell_angle_gamma 38.05
loop_
_space_group_symop_operation_xyz
'x,y,z'
loop_
_atom_site_label
_atom_site_type_symbol
_atom_site_fract_x
_atom_site_fract_y
_atom_site_fract_z
Sr1 Sr 0.111 0.111 0.000
Sr2 Sr 0.889 0.889 0.000
Pd1 Pd 0.250 0.750 0.500
Pd2 Pd 0.750 0.250 0.500
Au1 Au 0.500 0.500 0.000
# SG	I4/mmm (139)
# electronic total energy	-3.87	eV/atom


# Sr2PdAu (PBE, optimized geometry)
data_Sr2PdAu
_chemical_formula_sum 'Sr4 Pd2 Au2'
_space_group_name_H-M_alt 'P 1'
_space_group_IT_number 1
_cell_length_a 6.165
_cell_length_b 4.646
_cell_length_c 8.559
_cell_angle_alpha 90.00
_cell_angle_beta 110.33
_cell_angle_gamma 90.00
loop_
_space_group_symop_operation_xyz
'x,y,z'
loop_
_atom_site_label
_atom_site_type_symbol
_atom_site_fract_x
_atom_site_fract_y
_atom_site_fract_z
Sr1 Sr 0.220 0.250 0.433
Sr2 Sr 0.225 0.250 0.928
Sr3 Sr 0.775 0.750 0.072
Sr4 Sr 0.780 0.750 0.567
Pd1 Pd 0.353 0.750 0.714
Pd2 Pd 0.647 0.250 0.286
Au1 Au 0.347 0.750 0.212
Au2 Au 0.653 0.250 0.788
# SG	P2_1/m (11)
# electronic total energy	-3.67	eV/atom


# Sr2Tl4PdAu (PBE, optimized geometry)
data_Sr2Tl4PdAu
_chemical_formula_sum 'Sr2 Tl4 Pd1 Au1'
_space_group_name_H-M_alt 'P 1'
_space_group_IT_number 1
_cell_length_a 8.377
_cell_length_b 6.130
_cell_length_c 6.130
_cell_angle_alpha 44.20
_cell_angle_beta 90.00
_cell_angle_gamma 90.00
loop_
_space_group_symop_operation_xyz
'x,y,z'
loop_
_atom_site_label
_atom_site_type_symbol
_atom_site_fract_x
_atom_site_fract_y
_atom_site_fract_z
Sr1 Sr 0.000 0.000 0.000
Sr2 Sr 0.500 0.134 0.134
Tl1 Tl 0.205 0.711 0.711
Tl2 Tl 0.306 0.425 0.425
Tl3 Tl 0.694 0.425 0.425
Tl4 Tl 0.795 0.711 0.711
Pd1 Pd 0.500 0.851 0.851
Au1 Au 0.000 0.287 0.287
# SG	Amm2 (38)
# electronic total energy	-3.07	eV/atom